[1]
## Ac2ZnIn4Hg3 (GGA-PBE)

Data for a relaxed Ac2ZnIn4Hg3 crystal.

Cell: 4.795 4.795 11.872 Å, 90.00 90.00 90.00°
Positions (direct):
Ac 0.000 0.500 0.237
Ac 0.500 0.000 0.763
Zn 0.500 0.500 0.000
In 0.000 0.000 0.500
In 0.000 0.500 0.875
In 0.500 0.000 0.125
In 0.500 0.500 0.500
Hg 0.000 0.000 0.000
Hg 0.000 0.500 0.643
Hg 0.500 0.000 0.357

Summary:
SG	P-4m2 (115)
V	27.3	A^3/atom
crystal system	tetragonal
energy relative to the elements	-321	kJ/mol of formula units



[2]
## FeWS2N (GGA-PBE)

Data for a relaxed FeWS2N crystal.

Cell: 4.806 4.806 3.792 Å, 90.00 90.00 90.00°
Positions (direct):
Fe 0.000 0.000 0.000
W 0.500 0.500 0.500
S 0.000 0.500 0.500
S 0.500 0.000 0.500
N 0.500 0.500 0.000

Summary:
SG	P4/mmm (123)
V	17.5	A^3/atom
E_form (uncorrected)	0.445	eV per atom
crystal system	tetragonal



[3]
## CuHgPb2 (GGA-PBE)

Data for a relaxed CuHgPb2 crystal.

Cell: 3.382 3.359 9.249 Å, 90.00 92.42 90.00°
Positions (direct):
Cu 0.000 0.000 0.000
Hg 0.000 0.000 0.500
Pb 0.474 0.500 0.808
Pb 0.526 0.500 0.192

Summary:
SG	P2/m (10)
V	26.2	A^3/atom
crystal system	monoclinic
energy relative to the elements	46	kJ/mol of formula units



[4]
## MgZn6Ag3 (GGA-PBE)

Data for a relaxed MgZn6Ag3 crystal.

Cell: 9.730 9.730 9.730 Å, 119.12 119.12 119.12°
Positions (direct):
Mg 0.000 0.000 0.000
Zn 0.161 0.428 0.428
Zn 0.428 0.161 0.428
Zn 0.428 0.428 0.161
Zn 0.567 0.567 0.833
Zn 0.567 0.833 0.567
Zn 0.833 0.567 0.567
Ag 0.497 0.998 0.998
Ag 0.998 0.497 0.998
Ag 0.998 0.998 0.497

Summary:
SG	R3m (160)
V	22.4	A^3/atom
crystal system	trigonal
energy relative to the elements	165	kJ/mol of formula units



[5]
## CoCuHg2 (GGA-PBE)

Data for a relaxed CoCuHg2 crystal.

Cell: 3.045 3.131 6.880 Å, 90.00 90.27 90.00°
Positions (direct):
Co 0.000 0.000 0.000
Cu 0.000 0.000 0.500
Hg 0.500 0.500 0.246
Hg 0.500 0.500 0.754

Summary:
SG	P2/m (10)
V	16.4	A^3/atom
crystal system	monoclinic
energy relative to the elements	144	kJ/mol of formula units



[6]
## CaLaDy2Se4 (GGA-PBE)

Data for a relaxed CaLaDy2Se4 crystal.

Cell: 7.228 4.139 7.233 Å, 90.00 109.08 90.00°
Positions (direct):
Ca 0.000 0.000 0.000
La 0.000 0.500 0.500
Dy 0.500 0.000 0.500
Dy 0.500 0.500 0.000
Se 0.259 0.500 0.247
Se 0.263 0.000 0.761
Se 0.737 0.000 0.239
Se 0.741 0.500 0.753

Summary:
SG	P2/m (10)
V	25.6	A^3/atom
E_form (uncorrected)	-1.867	eV per atom
crystal system	monoclinic



[7]
## DySiW (GGA-PBE)

Data for a relaxed DySiW crystal.

Cell: 3.894 3.894 7.678 Å, 90.00 90.00 90.00°
Positions (direct):
Dy 0.250 0.250 0.144
Dy 0.750 0.750 0.856
Si 0.250 0.250 0.733
Si 0.750 0.750 0.267
W 0.250 0.750 0.500
W 0.750 0.250 0.500

Summary:
SG	P4/nmm (129)
V	19.4	A^3/atom
E_form (uncorrected)	-0.461	eV per atom
crystal system	tetragonal



[8]
## NaTa2Br (GGA-PBE)

Data for a relaxed NaTa2Br crystal.

Cell: 6.741 6.741 6.741 Å, 90.00 90.00 90.00°
Positions (direct):
Na 0.000 0.000 0.000
Na 0.000 0.500 0.500
Na 0.500 0.000 0.500
Na 0.500 0.500 0.000
Ta 0.250 0.250 0.250
Ta 0.250 0.250 0.750
Ta 0.250 0.750 0.250
Ta 0.250 0.750 0.750
Ta 0.750 0.250 0.250
Ta 0.750 0.250 0.750
Ta 0.750 0.750 0.250
Ta 0.750 0.750 0.750
Br 0.000 0.000 0.500
Br 0.000 0.500 0.000
Br 0.500 0.000 0.000
Br 0.500 0.500 0.500

Summary:
SG	Fm-3m (225)
V	19.1	A^3/atom
E_form (uncorrected)	1.507	eV per atom
crystal system	cubic



[9]
## Na2SrPtF (GGA-PBE)

Data for a relaxed Na2SrPtF crystal.

Cell: 4.490 4.490 5.254 Å, 90.00 90.00 90.00°
Positions (direct):
Na 0.000 0.500 0.000
Na 0.500 0.000 0.000
Sr 0.000 0.000 0.500
Pt 0.500 0.500 0.500
F 0.000 0.000 0.000

Summary:
SG	P4/mmm (123)
V	21.2	A^3/atom
E_form (uncorrected)	-1.275	eV per atom
crystal system	tetragonal



[10]
## LiPmGa (GGA-PBE)

Data for a relaxed LiPmGa crystal.

Cell: 7.361 4.250 9.404 Å, 90.00 105.03 90.00°
Positions (direct):
Li 0.154 0.000 0.461
Li 0.346 0.500 0.539
Li 0.654 0.500 0.461
Li 0.846 0.000 0.539
Pm 0.220 0.500 0.159
Pm 0.280 0.000 0.841
Pm 0.720 0.000 0.159
Pm 0.780 0.500 0.841
Ga 0.047 0.500 0.641
Ga 0.453 0.000 0.359
Ga 0.547 0.000 0.641
Ga 0.953 0.500 0.359

Summary:
SG	C2/m (12)
V	23.7	A^3/atom
crystal system	monoclinic
energy relative to the elements	-69	kJ/mol of formula units



[11]
## TlIr2Cl (GGA-PBE)

Data for a relaxed TlIr2Cl crystal.

Cell: 2.955 5.346 8.906 Å, 90.00 90.00 90.00°
Positions (direct):
Tl 0.000 0.000 0.000
Tl 0.500 0.500 0.000
Ir 0.000 0.500 0.262
Ir 0.000 0.500 0.738
Ir 0.500 0.000 0.262
Ir 0.500 0.000 0.738
Cl 0.000 0.000 0.500
Cl 0.500 0.500 0.500

Summary:
SG	Cmmm (65)
V	17.6	A^3/atom
E_form (uncorrected)	0.800	eV per atom
crystal system	orthorhombic



[12]
## Li2DySi2 (GGA-PBE)

Data for a relaxed Li2DySi2 crystal.

Cell: 3.987 3.987 11.274 Å, 90.00 90.00 90.00°
Positions (direct):
Li 0.000 0.500 0.250
Li 0.000 0.500 0.750
Li 0.500 0.000 0.250
Li 0.500 0.000 0.750
Dy 0.000 0.000 0.000
Dy 0.500 0.500 0.500
Si 0.000 0.000 0.397
Si 0.000 0.000 0.603
Si 0.500 0.500 0.103
Si 0.500 0.500 0.897

Summary:
SG	I4/mmm (139)
V	17.9	A^3/atom
E_form (uncorrected)	-0.474	eV per atom
crystal system	tetragonal